1.
Entry from Alexandria: a relaxed structure of La3SnC (PBE).

POSCAR file:
```
La3SnC
1.0
3.605 2.081 6.771
-3.605 2.081 6.771
0.000 -4.163 6.771
La Sn C
6 2 2
Direct
0.002 0.426 0.840
0.160 0.998 0.574
0.426 0.840 0.002
0.574 0.160 0.998
0.840 0.002 0.426
0.998 0.574 0.160
0.377 0.377 0.377
0.623 0.623 0.623
0.172 0.172 0.172
0.828 0.828 0.828
```

Values from the calculation:
For the formation energy, the calculation gives -0.268 eV per atom. The theoretical density is 6.0 g cm⁻³. For the magnetic moment, the calculation gives 0.000 Bohr magnetons per cell. Its space group is R-3.



2.
Entry from Alexandria: a relaxed structure of LiAsIr2 (PBE).

POSCAR file:
```
LiAsIr2
1.0
3.710 0.000 0.000
0.000 3.710 0.000
0.000 0.000 8.082
Li As Ir
2 2 4
Direct
0.000 0.000 0.000
0.500 0.500 0.500
0.000 0.500 0.750
0.500 0.000 0.250
0.000 0.000 0.500
0.000 0.500 0.250
0.500 0.000 0.750
0.500 0.500 0.000
```

Values from the calculation:
For the formation energy, the calculation gives -0.044 eV per atom. The theoretical density is 13.9 g cm⁻³. For the magnetic moment, the calculation gives 0.000 Bohr magnetons per cell. Its space group is I-4m2.



3.
Entry from Alexandria: a relaxed structure of Pm5HoCu6 (PBE).

POSCAR file:
```
Pm5HoCu6
1.0
7.953 -3.521 0.000
7.953 3.521 0.000
-1.584 0.000 4.781
Pm Ho Cu
5 1 6
Direct
0.000 0.000 0.000
0.166 0.166 0.666
0.333 0.333 0.334
0.667 0.667 0.666
0.834 0.834 0.334
0.500 0.500 0.000
0.093 0.581 0.838
0.264 0.736 0.500
0.419 0.907 0.162
0.581 0.093 0.838
0.736 0.264 0.500
0.907 0.419 0.162
```

Values from the calculation:
For the formation energy, the calculation gives -0.179 eV per atom. The theoretical density is 7.9 g cm⁻³. For the magnetic moment, the calculation gives 0.001 Bohr magnetons per cell. Its space group is C2/m.



4.
Entry from Alexandria: a relaxed structure of ErU4C5 (PBE).

POSCAR file:
```
ErU4C5
1.0
-1.742 2.482 8.730
1.742 -2.482 8.730
1.742 2.482 -8.730
Er U C
1 4 5
Direct
0.000 0.000 0.000
0.200 0.200 0.000
0.401 0.401 0.000
0.599 0.599 0.000
0.800 0.800 0.000
0.107 0.607 0.500
0.303 0.803 0.500
0.500 0.000 0.500
0.697 0.197 0.500
0.893 0.393 0.500
```

Values from the calculation:
For the formation energy, the calculation gives -0.181 eV per atom. The theoretical density is 13.0 g cm⁻³. For the magnetic moment, the calculation gives 0.001 Bohr magnetons per cell. Its space group is Immm.



5.
Entry from Alexandria: a relaxed structure of TaZnCu3 (PBE).

POSCAR file:
```
TaZnCu3
1.0
4.815 0.000 0.000
0.000 4.815 0.000
0.000 0.000 4.815
Ta Zn Cu
1 1 3
Direct
0.000 0.000 0.000
0.500 0.500 0.500
0.000 0.000 0.500
0.000 0.500 0.000
0.500 0.000 0.000
```

Values from the calculation:
For the formation energy, the calculation gives 1.476 eV per atom. The theoretical density is 6.5 g cm⁻³. For the magnetic moment, the calculation gives 0.000 Bohr magnetons per cell. Its space group is Pm-3m. The energy above the lowest structure with this stoichiometry is 53.41 kJ per mole of atoms.



6.
Entry from Alexandria: a relaxed structure of Sm3CdBi2 (PBE).

POSCAR file:
```
Sm3CdBi2
1.0
7.196 -3.193 0.000
7.196 3.193 0.000
-2.851 0.000 8.599
Sm Cd Bi
6 2 4
Direct
0.001 0.999 0.750
0.325 0.326 0.413
0.326 0.325 0.913
0.674 0.675 0.087
0.675 0.674 0.587
0.999 0.001 0.250
0.499 0.501 0.250
0.501 0.499 0.750
0.165 0.165 0.082
0.165 0.165 0.582
0.835 0.835 0.418
0.835 0.835 0.918
```

Values from the calculation:
For the formation energy, the calculation gives -0.581 eV per atom. The theoretical density is 8.2 g cm⁻³. For the magnetic moment, the calculation gives 0.003 Bohr magnetons per cell. Its space group is C2/c.



7.
Entry from Alexandria: a relaxed structure of NiIr2Se (PBE).

POSCAR file:
```
NiIr2Se
1.0
6.165 0.000 0.000
0.000 6.165 0.000
0.000 0.000 6.165
Ni Ir Se
4 8 4
Direct
0.000 0.000 0.000
0.000 0.500 0.500
0.500 0.000 0.500
0.500 0.500 0.000
0.000 0.000 0.500
0.000 0.500 0.000
0.250 0.250 0.750
0.250 0.750 0.250
0.500 0.000 0.000
0.500 0.500 0.500
0.750 0.250 0.250
0.750 0.750 0.750
0.250 0.250 0.250
0.250 0.750 0.750
0.750 0.250 0.750
0.750 0.750 0.250
```

Values from the calculation:
The theoretical density is 14.8 g cm⁻³. For the magnetic moment, the calculation gives 0.003 Bohr magnetons per cell. Its space group is F-43m. The energy above the lowest structure with this stoichiometry is 25.59 kJ per mole of atoms.



8.
Entry from Alexandria: a relaxed structure of KP2PbO (PBE).

POSCAR file:
```
KP2PbO
1.0
5.891 0.000 0.000
0.000 5.891 0.000
0.000 0.000 4.686
K P Pb O
1 2 1 1
Direct
0.000 0.000 0.000
0.000 0.500 0.000
0.500 0.000 0.000
0.500 0.500 0.500
0.000 0.000 0.500
```

Values from the calculation:
The theoretical density is 3.3 g cm⁻³. For the magnetic moment, the calculation gives 4.996 Bohr magnetons per cell. Its space group is P4/mmm. The energy above the lowest structure with this stoichiometry is 79.76 kJ per mole of atoms.



9.
Entry from Alexandria: a relaxed structure of CoSi2Pb (PBE).

POSCAR file:
```
CoSi2Pb
1.0
3.004 0.000 0.000
0.000 3.004 0.000
0.000 0.000 7.504
Co Si Pb
1 2 1
Direct
0.000 0.000 0.000
0.500 0.500 0.169
0.500 0.500 0.831
0.000 0.000 0.500
```

Values from the calculation:
The theoretical density is 7.9 g cm⁻³. The raw total energy is -5.25 eV per atom. For the magnetic moment, the calculation gives 0.000 Bohr magnetons per cell. Its space group is P4/mmm.



10.
Entry from Alexandria: a relaxed structure of SrIn2Cu (PBE).

POSCAR file:
```
SrIn2Cu
1.0
5.822 0.000 0.000
0.000 8.579 0.000
0.000 0.000 4.393
Sr In Cu
2 4 2
Direct
0.000 0.000 0.000
0.500 0.500 0.000
0.000 0.321 0.500
0.000 0.679 0.500
0.500 0.179 0.500
0.500 0.821 0.500
0.000 0.500 0.000
0.500 0.000 0.000
```

Values from the calculation:
For the formation energy, the calculation gives -0.175 eV per atom. The theoretical density is 5.8 g cm⁻³. For the magnetic moment, the calculation gives 0.000 Bohr magnetons per cell. Its space group is Cmmm.



11.
Entry from Alexandria: a relaxed structure of Ca2Nd3PuN6 (PBE).

POSCAR file:
```
Ca2Nd3PuN6
1.0
3.095 -5.360 0.000
3.095 5.360 0.000
-2.056 0.000 5.793
Ca Nd Pu N
2 3 1 6
Direct
0.167 0.833 0.000
0.833 0.167 0.000
0.000 0.000 0.500
0.332 0.668 0.500
0.668 0.332 0.500
0.500 0.500 0.000
0.118 0.420 0.760
0.283 0.283 0.235
0.420 0.118 0.760
0.580 0.882 0.240
0.717 0.717 0.765
0.882 0.580 0.240
```

Values from the calculation:
The theoretical density is 7.3 g cm⁻³. The raw total energy is -8.09 eV per atom. For the magnetic moment, the calculation gives 3.009 Bohr magnetons per cell. Its space group is C2/m.



12.
Entry from Alexandria: a relaxed structure of YZn2BPd (PBE).

POSCAR file:
```
YZn2BPd
1.0
5.394 0.000 0.000
0.000 5.394 0.000
0.000 0.000 4.448
Y Zn B Pd
1 2 1 1
Direct
0.000 0.000 0.000
0.000 0.500 0.000
0.500 0.000 0.000
0.000 0.000 0.500
0.500 0.500 0.500
```

Values from the calculation:
For the formation energy, the calculation gives 1.463 eV per atom. The theoretical density is 4.3 g cm⁻³. For the magnetic moment, the calculation gives 0.000 Bohr magnetons per cell. Its space group is P4/mmm.